No. 1
The following is a DFT calculation (meta-GGA SCAN) of a PBEsol-optimized structure of CdAu.

Calculated values
DFT total energy, Ry/atom: -3.6707
ΔE_f, meV/atom: -157

Cell and atoms, written as CIF:
```
data_CdAu
_cell_length_a 3.2028
_cell_length_b 4.7385
_cell_length_c 4.8166
_cell_angle_alpha 90.00
_cell_angle_beta 90.00
_cell_angle_gamma 90.00
_space_group_name_H-M_alt 'P m m n'
_space_group_IT_number 59
loop_
_space_group_symop_operation_xyz
'x,y,z'
'-x,-y,-z'
'-x+1/2,-y+1/2,z'
'x+1/2,y+1/2,-z'
'x+1/2,-y,-z'
'-x+1/2,y,z'
'-x,y+1/2,-z'
'x,-y+1/2,z'
loop_
_atom_site_label
_atom_site_fract_x
_atom_site_fract_y
_atom_site_fract_z
Cd1 0.2500 0.2500 0.0811
Au1 0.2500 0.7500 0.4174
```

***

No. 2
The following is a DFT calculation (meta-GGA SCAN) of a PBEsol-optimized structure of TaSi2Te.

Calculated values
DFT total energy, Ry/atom: -2.2582
Formation energy from raw total energies, eV per atom: 0.24

Cell and atoms, written as CIF:
```
data_TaSi2Te
_cell_length_a 3.2543
_cell_length_b 3.2543
_cell_length_c 7.2909
_cell_angle_alpha 90.00
_cell_angle_beta 90.00
_cell_angle_gamma 90.00
_space_group_name_H-M_alt 'P 4 m m'
_space_group_IT_number 99
loop_
_space_group_symop_operation_xyz
'x,y,z'
'-y,x,z'
'-x,-y,z'
'y,-x,z'
'-x,y,z'
'y,x,z'
'x,-y,z'
'-y,-x,z'
loop_
_atom_site_label
_atom_site_fract_x
_atom_site_fract_y
_atom_site_fract_z
Ta1 0.0000 0.0000 0.0000
Si1 0.0000 0.0000 0.6387
Si2 0.5000 0.5000 0.8038
Te1 0.5000 0.5000 0.2430
```

***

No. 3
The following is a DFT calculation (meta-GGA SCAN) of a PBEsol-optimized structure of Ba6Na2Si4O15.

Calculated values
DFT total energy, Ry/atom: -1.2610
Formation energy from raw total energies, eV per atom: -3.11

Cell and atoms, written as CIF:
```
data_Ba6Na2Si4O15
_cell_length_a 9.5307
_cell_length_b 7.8558
_cell_length_c 11.5015
_cell_angle_alpha 90.00
_cell_angle_beta 107.66
_cell_angle_gamma 90.00
_space_group_name_H-M_alt 'P 1 21/c 1'
_space_group_IT_number 14
loop_
_space_group_symop_operation_xyz
'x,y,z'
'-x,-y,-z'
'-x,y+1/2,-z+1/2'
'x,-y+1/2,z+1/2'
loop_
_atom_site_label
_atom_site_fract_x
_atom_site_fract_y
_atom_site_fract_z
Ba1 0.0040 0.0079 0.2749
Ba2 0.3314 0.0213 0.0831
Ba3 0.3424 0.5059 0.0863
Na1 0.3218 0.7484 0.8310
Si1 0.0360 0.7111 0.5097
Si2 0.3783 0.2435 0.8443
O1 0.0000 0.0000 0.0000
O2 0.1202 0.1907 0.5242
O3 0.1318 0.7475 0.4170
O4 0.1391 0.7433 0.6491
O5 0.2804 0.0685 0.8239
O6 0.2907 0.0735 0.3176
O7 0.4869 0.2356 0.7552
O8 0.4877 0.2458 0.9877
```

***

No. 4
The following is a DFT calculation (meta-GGA SCAN) of a PBEsol-optimized structure of Zn2HgBi2.

Calculated values
DFT total energy, Ry/atom: -3.7027
ΔE_f, meV/atom: 94

Cell and atoms, written as CIF:
```
data_Zn2HgBi2
_cell_length_a 3.8192
_cell_length_b 3.8192
_cell_length_c 16.7976
_cell_angle_alpha 90.00
_cell_angle_beta 90.00
_cell_angle_gamma 90.00
_space_group_name_H-M_alt 'I 4/m m m'
_space_group_IT_number 139
_space_group_name_Hall '-I 4 2'
loop_
_atom_site_label
_atom_site_fract_x
_atom_site_fract_y
_atom_site_fract_z
Zn1 0.0000 0.5000 0.2500
Hg1 0.0000 0.0000 0.0000
Bi1 0.0000 0.0000 0.3763
```